1.
DFT (PBE) results for a relaxed CsK3 crystal.

Cell lengths 8.496, 15.760, 9.788 Å; angles 90.00, 90.00, 90.00 degrees
Space group Pnma (No. 62)
Symmetry-distinct sites (fractional):
Cs  0.065  0.250  0.118
K  0.081  0.250  0.630
K  0.230  0.507  0.370

Summary:
- Energy of formation from the pure elements: 12 meV per atom

=====

2.
DFT (PBE) results for a relaxed CdTc2Pb crystal.

Cell lengths 10.505, 3.145, 5.067 Å; angles 90.00, 113.38, 90.00 degrees
Space group Cm (No. 8)
Symmetry-distinct sites (fractional):
Cd  0.000  0.000  0.000
Tc  0.263  0.500  0.157
Tc  0.443  0.000  0.465
Pb  0.210  0.000  0.632

Summary:
- Energy of formation from the pure elements: 588 meV per atom
- Distance to the lowest polymorph of the same formula: 378.7 meV per atom

=====

3.
DFT (PBE) results for a relaxed ZnSn2Pd crystal.

Cell lengths 4.4072, 4.4072, 16.0714 Å; angles 90.00, 90.00, 120.00 degrees
Space group R3m (No. 160, hexagonal axes)
Symmetry-distinct sites (fractional):
Zn  0.0000  0.0000  0.0000
Sn  0.0000  0.0000  0.2300
Sn  0.0000  0.0000  0.4250
Pd  0.0000  0.0000  0.8344

Summary:
- Energy of formation from the pure elements: -178 meV per atom

=====

4.
DFT (PBE) results for a relaxed NaNiIr2 crystal.

Cell lengths 7.456, 7.456, 4.759 Å; angles 90.00, 90.00, 90.00 degrees
Space group I-42d (No. 122)
Symmetry-distinct sites (fractional):
Na  0.000  0.000  0.000
Ni  0.000  0.000  0.500
Ir  0.190  0.250  0.625

Summary:
- Energy of formation from the pure elements: 691 meV per atom
- Distance to the lowest polymorph of the same formula: 0.0 meV per atom

=====

5.
DFT (PBE) results for a relaxed PmNdSbN crystal.

Cell lengths 3.704, 3.750, 14.444 Å; angles 90.00, 90.00, 90.00 degrees
Space group Imm2 (No. 44)
Symmetry-distinct sites (fractional):
Pm  0.000  0.000  0.000
Nd  0.000  0.000  0.698
Sb  0.000  0.000  0.350
N  0.000  0.500  0.598

Summary:
- E_form (uncorrected): -1.05 eV per atom

=====

6.
DFT (PBE) results for a relaxed Ti2MoAs4 crystal.

Cell lengths 13.454, 3.478, 6.310 Å; angles 90.00, 116.32, 90.00 degrees
Space group C2/m (No. 12)
Symmetry-distinct sites (fractional):
Ti  0.246  0.000  0.242
Mo  0.000  0.000  0.000
As  0.114  0.500  0.313
As  0.122  0.000  0.788

Summary:
- Energy of formation from the pure elements: -478 meV per atom

=====

7.
DFT (PBE) results for a relaxed Na2MgGa4Sn3 crystal.

Cell lengths 4.698, 4.698, 11.629 Å; angles 90.00, 90.00, 90.00 degrees
Space group P-4m2 (No. 115)
Symmetry-distinct sites (fractional):
Na  0.000  0.500  0.249
Mg  0.500  0.500  0.000
Ga  0.000  0.000  0.500
Ga  0.000  0.500  0.864
Ga  0.500  0.500  0.500
Sn  0.000  0.000  0.000
Sn  0.000  0.500  0.634

Summary:
- Energy of formation from the pure elements: -93 meV per atom

=====

8.
DFT (PBE) results for a relaxed SrEuGdMg crystal.

Cell lengths 8.323, 8.323, 8.323 Å; angles 90.00, 90.00, 90.00 degrees
Space group F-43m (No. 216)
Symmetry-distinct sites (fractional):
Sr  0.000  0.000  0.000
Eu  0.250  0.250  0.750
Gd  0.000  0.000  0.500
Mg  0.250  0.250  0.250

Summary:
- Energy of formation from the pure elements: 104 meV per atom

=====

9.
DFT (PBE) results for a relaxed LaMn2Fe crystal.

Cell lengths 4.161, 4.161, 8.197 Å; angles 90.00, 90.00, 90.00 degrees
Space group I-4m2 (No. 119)
Symmetry-distinct sites (fractional):
La  0.000  0.000  0.000
Mn  0.000  0.000  0.500
Mn  0.000  0.500  0.750
Fe  0.000  0.500  0.250

Summary:
- Energy of formation from the pure elements: 487 meV per atom
- Distance to the lowest polymorph of the same formula: 282.7 meV per atom

=====

10.
DFT (PBE) results for a relaxed CaInTe2 crystal.

Cell lengths 6.887, 6.887, 14.845 Å; angles 90.00, 90.00, 90.00 degrees
Space group I-42d (No. 122)
Symmetry-distinct sites (fractional):
Ca  0.000  0.000  0.000
In  0.000  0.000  0.500
Te  0.240  0.250  0.625

Summary:
- E_form (uncorrected): -0.75 eV per atom

=====

Number 1: density 1.3 g/cm3. Number 2: density 11.1 g/cm3. Number 3: density 7.5 g/cm3. Number 4: density 11.7 g/cm3. Number 5: density 7.0 g/cm3. Number 6: density 6.2 g/cm3. Number 7: density 4.6 g/cm3. Number 8: density 4.9 g/cm3. Number 9: density 7.1 g/cm3. Number 10: density 3.9 g/cm3.